1.
A relaxed structure of Li3CdC. Source: the Alexandria database, functional PBE.

a = 4.931 Å, b = 4.931 Å, c = 4.931 Å
α = 90.00°, β = 90.00°, γ = 90.00°
Element x y z (fractional)
Li (0.000, 0.000, 0.500)
Li (0.000, 0.500, 0.000)
Li (0.500, 0.000, 0.000)
Cd (0.000, 0.000, 0.000)
C (0.500, 0.500, 0.500)

## Properties
* space-group type: No. 221
* total magnetic moment: 0.2034 μB per atom
* calculated density: 2.0 Mg/m³

---

2.
A relaxed structure of Li3CdC. Source: the Alexandria database, functional PBE.

a = 4.143 Å, b = 4.143 Å, c = 4.143 Å
α = 90.00°, β = 90.00°, γ = 90.00°
Element x y z (fractional)
Li (0.000, 0.000, 0.500)
Li (0.000, 0.500, 0.000)
Li (0.500, 0.000, 0.000)
Cd (0.500, 0.500, 0.500)
C (0.000, 0.000, 0.000)

## Properties
* space-group type: No. 221
* total magnetic moment: 0.0000 μB per atom
* calculated density: 3.4 Mg/m³

---

Which structure is the least stable? The one labeled 1.

---

1.
A relaxed structure of MgCdC2. Source: the Alexandria database, functional PBE.

a = 4.148 Å, b = 4.148 Å, c = 4.148 Å
α = 60.00°, β = 60.00°, γ = 60.00°
Element x y z (fractional)
Mg (0.000, 0.000, 0.000)
Cd (0.500, 0.500, 0.500)
C (0.250, 0.250, 0.250)
C (0.750, 0.750, 0.750)

## Properties
* space-group type: No. 225
* total magnetic moment: 0.0000 μB per atom
* calculated density: 5.3 Mg/m³

---

2.
A relaxed structure of MgCdC2. Source: the Alexandria database, functional PBE.

a = 7.644 Å, b = 7.644 Å, c = 7.644 Å
α = 149.69°, β = 149.69°, γ = 43.39°
Element x y z (fractional)
Mg (0.000, 0.000, 0.000)
Mg (0.750, 0.250, 0.500)
Cd (0.250, 0.750, 0.500)
Cd (0.500, 0.500, 0.000)
C (0.030, 0.625, 0.905)
C (0.375, 0.280, 0.405)
C (0.720, 0.125, 0.095)
C (0.875, 0.970, 0.595)

## Properties
* space-group type: No. 122
* total magnetic moment: 0.0000 μB per atom
* calculated density: 4.7 Mg/m³

---

Which structure is the least stable? The one labeled 1.

---

1.
A relaxed structure of Mg6CdCO8. Source: the Alexandria database, functional PBE.

a = 4.323 Å, b = 4.323 Å, c = 8.675 Å
α = 90.00°, β = 90.00°, γ = 90.00°
Element x y z (fractional)
Mg (0.000, 0.000, 0.000)
Mg (0.000, 0.500, 0.248)
Mg (0.000, 0.500, 0.752)
Mg (0.500, 0.000, 0.248)
Mg (0.500, 0.000, 0.752)
Mg (0.500, 0.500, 0.000)
Cd (0.000, 0.000, 0.500)
C (0.500, 0.500, 0.500)
O (0.000, 0.000, 0.234)
O (0.000, 0.000, 0.766)
O (0.000, 0.500, 0.000)
O (0.000, 0.500, 0.500)
O (0.500, 0.000, 0.000)
O (0.500, 0.000, 0.500)
O (0.500, 0.500, 0.250)
O (0.500, 0.500, 0.750)

## Properties
* space-group type: No. 123
* total magnetic moment: 0.0000 μB per atom
* calculated density: 4.1 Mg/m³

---

2.
A relaxed structure of Mg6CdCO8. Source: the Alexandria database, functional PBE.

a = 4.329 Å, b = 4.329 Å, c = 8.648 Å
α = 90.00°, β = 90.00°, γ = 90.00°
Element x y z (fractional)
Mg (0.000, 0.000, 0.000)
Mg (0.000, 0.000, 0.500)
Mg (0.000, 0.500, 0.240)
Mg (0.000, 0.500, 0.760)
Mg (0.500, 0.000, 0.240)
Mg (0.500, 0.000, 0.760)
Cd (0.500, 0.500, 0.500)
C (0.500, 0.500, 0.000)
O (0.000, 0.000, 0.248)
O (0.000, 0.000, 0.752)
O (0.000, 0.500, 0.000)
O (0.000, 0.500, 0.500)
O (0.500, 0.000, 0.000)
O (0.500, 0.000, 0.500)
O (0.500, 0.500, 0.231)
O (0.500, 0.500, 0.769)

## Properties
* space-group type: No. 123
* total magnetic moment: 0.0000 μB per atom
* calculated density: 4.1 Mg/m³

---

Which structure is the least stable? The one labeled 1.

---

1.
A relaxed structure of Mn2CdC2. Source: the Alexandria database, functional PBE.

a = 5.966 Å, b = 5.966 Å, c = 3.309 Å
α = 90.00°, β = 90.00°, γ = 90.00°
Element x y z (fractional)
Mn (0.163, 0.337, 0.000)
Mn (0.337, 0.837, 0.000)
Mn (0.663, 0.163, 0.000)
Mn (0.837, 0.663, 0.000)
Cd (0.000, 0.000, 0.500)
Cd (0.500, 0.500, 0.500)
C (0.084, 0.584, 0.500)
C (0.416, 0.084, 0.500)
C (0.584, 0.916, 0.500)
C (0.916, 0.416, 0.500)

## Properties
* space-group type: No. 127
* total magnetic moment: 1.3939 μB per atom
* calculated density: 6.9 Mg/m³

---

2.
A relaxed structure of Mn2CdC2. Source: the Alexandria database, functional PBE.

a = 6.974 Å, b = 6.974 Å, c = 2.947 Å
α = 90.00°, β = 90.00°, γ = 90.00°
Element x y z (fractional)
Mn (0.122, 0.378, 0.000)
Mn (0.378, 0.878, 0.000)
Mn (0.622, 0.122, 0.000)
Mn (0.878, 0.622, 0.000)
Cd (0.000, 0.000, 0.000)
Cd (0.500, 0.500, 0.000)
C (0.076, 0.576, 0.500)
C (0.424, 0.076, 0.500)
C (0.576, 0.924, 0.500)
C (0.924, 0.424, 0.500)

## Properties
* space-group type: No. 127
* total magnetic moment: 1.1496 μB per atom
* calculated density: 5.7 Mg/m³

---

3.
A relaxed structure of Mn2CdC2. Source: the Alexandria database, functional PBE.

a = 5.305 Å, b = 5.305 Å, c = 5.305 Å
α = 139.90°, β = 139.90°, γ = 58.00°
Element x y z (fractional)
Mn (0.250, 0.750, 0.500)
Mn (0.750, 0.250, 0.500)
Cd (0.000, 0.000, 0.000)
C (0.314, 0.314, 0.000)
C (0.686, 0.686, 0.000)

## Properties
* space-group type: No. 139
* total magnetic moment: 0.2956 μB per atom
* calculated density: 6.7 Mg/m³

---

4.
A relaxed structure of Mn2CdC2. Source: the Alexandria database, functional PBE.

a = 6.091 Å, b = 6.091 Å, c = 6.091 Å
α = 148.32°, β = 148.32°, γ = 45.41°
Element x y z (fractional)
Mn (0.160, 0.160, 0.000)
Mn (0.840, 0.840, 0.000)
Cd (0.500, 0.500, 0.000)
C (0.250, 0.750, 0.500)
C (0.750, 0.250, 0.500)

## Properties
* space-group type: No. 139
* total magnetic moment: 0.7960 μB per atom
* calculated density: 6.6 Mg/m³

---

Which structure is the least stable? The one labeled 2.

---

1.
A relaxed structure of MnCdC3. Source: the Alexandria database, functional PBE.

a = 4.185 Å, b = 4.185 Å, c = 4.185 Å
α = 90.00°, β = 90.00°, γ = 90.00°
Element x y z (fractional)
Mn (0.000, 0.000, 0.000)
Cd (0.500, 0.500, 0.500)
C (0.000, 0.500, 0.500)
C (0.500, 0.000, 0.500)
C (0.500, 0.500, 0.000)

## Properties
* space-group type: No. 221
* total magnetic moment: 0.0776 μB per atom
* calculated density: 4.6 Mg/m³

---

2.
A relaxed structure of MnCdC3. Source: the Alexandria database, functional PBE.

a = 3.854 Å, b = 3.854 Å, c = 3.854 Å
α = 90.00°, β = 90.00°, γ = 90.00°
Element x y z (fractional)
Mn (0.000, 0.000, 0.000)
Cd (0.500, 0.500, 0.500)
C (0.000, 0.000, 0.500)
C (0.000, 0.500, 0.000)
C (0.500, 0.000, 0.000)

## Properties
* space-group type: No. 221
* total magnetic moment: 0.0000 μB per atom
* calculated density: 5.9 Mg/m³

---

Which structure is the least stable? The one labeled 1.

---

1.
A relaxed structure of MnCd3C. Source: the Alexandria database, functional PBE.

a = 4.620 Å, b = 4.620 Å, c = 4.620 Å
α = 90.00°, β = 90.00°, γ = 90.00°
Element x y z (fractional)
Mn (0.000, 0.000, 0.000)
Cd (0.000, 0.500, 0.500)
Cd (0.500, 0.000, 0.500)
Cd (0.500, 0.500, 0.000)
C (0.500, 0.500, 0.500)

## Properties
* space-group type: No. 221
* total magnetic moment: 0.8193 μB per atom
* calculated density: 6.8 Mg/m³

---

2.
A relaxed structure of MnCd3C. Source: the Alexandria database, functional PBE.

a = 4.991 Å, b = 4.991 Å, c = 4.991 Å
α = 90.00°, β = 90.00°, γ = 90.00°
Element x y z (fractional)
Mn (0.000, 0.000, 0.000)
Cd (0.000, 0.000, 0.500)
Cd (0.000, 0.500, 0.000)
Cd (0.500, 0.000, 0.000)
C (0.500, 0.500, 0.500)

## Properties
* space-group type: No. 221
* total magnetic moment: 0.0000 μB per atom
* calculated density: 5.4 Mg/m³

---

Which structure is the least stable? The one labeled 2.